Entry 1:
{"formula": "Pm4Nd3Zn", "functional": "PBE", "state": "relaxed", "sg": "No. 123", "cell": [[3.668, 0.000, 0.000], [0.000, 3.668, 0.000], [0.000, 0.000, 19.224]], "species": ["Pm", "Pm", "Pm", "Pm", "Nd", "Nd", "Nd", "Zn"], "fractional_positions": [[0.000, 0.000, 0.094], [0.000, 0.000, 0.365], [0.000, 0.000, 0.635], [0.000, 0.000, 0.906], [0.500, 0.500, 0.231], [0.500, 0.500, 0.500], [0.500, 0.500, 0.769], [0.500, 0.500, 0.000]]}

***

Entry 2:
{"formula": "PmNdZn", "functional": "PBE", "state": "relaxed", "polymorph_energy_mev_per_atom": 0, "sg": "No. 107", "cell": [[-1.847, 1.847, 6.224], [1.847, -1.847, 6.224], [1.847, 1.847, -6.224]], "species": ["Pm", "Nd", "Zn"], "fractional_positions": [[0.000, 0.000, 0.000], [0.711, 0.711, 0.000], [0.358, 0.358, 0.000]]}

***

Entry 3:
{"formula": "Pm2NdZn", "functional": "PBE", "state": "relaxed", "polymorph_energy_mev_per_atom": 0, "sg": "No. 123", "cell": [[3.669, 0.000, 0.000], [0.000, 3.669, 0.000], [0.000, 0.000, 8.828]], "species": ["Pm", "Pm", "Nd", "Zn"], "fractional_positions": [[0.000, 0.000, 0.206], [0.000, 0.000, 0.794], [0.500, 0.500, 0.500], [0.500, 0.500, 0.000]]}

***

Entry 4:
{"formula": "PmNd5Zn3", "functional": "PBE", "state": "relaxed", "sg": "No. 193", "cell": [[9.118, 0.000, 0.000], [-4.559, 7.896, 0.000], [0.000, 0.000, 7.009]], "species": ["Pm", "Pm", "Nd", "Nd", "Nd", "Nd", "Nd", "Nd", "Nd", "Nd", "Nd", "Nd", "Zn", "Zn", "Zn", "Zn", "Zn", "Zn"], "fractional_positions": [[0.000, 0.000, 0.000], [0.000, 0.000, 0.500], [0.000, 0.334, 0.250], [0.000, 0.666, 0.750], [0.333, 0.667, 0.000], [0.333, 0.667, 0.500], [0.334, 0.000, 0.250], [0.334, 0.334, 0.750], [0.666, 0.000, 0.750], [0.666, 0.666, 0.250], [0.667, 0.333, 0.000], [0.667, 0.333, 0.500], [0.000, 0.332, 0.750], [0.000, 0.668, 0.250], [0.332, 0.000, 0.750], [0.332, 0.332, 0.250], [0.668, 0.000, 0.250], [0.668, 0.668, 0.750]]}

***

Entry 5:
{"formula": "Pm2NdZn", "functional": "PBE", "state": "relaxed", "polymorph_energy_mev_per_atom": 116, "sg": "No. 160", "cell": [[1.843, 1.064, 10.564], [-1.843, 1.064, 10.564], [0.000, -2.128, 10.564]], "species": ["Pm", "Pm", "Nd", "Zn"], "fractional_positions": [[0.000, 0.000, 0.000], [0.192, 0.192, 0.192], [0.429, 0.429, 0.429], [0.596, 0.596, 0.596]]}

***

Entry 6:
{"formula": "PmNdZn", "functional": "PBE", "state": "relaxed", "polymorph_energy_mev_per_atom": 69, "sg": "No. 63", "cell": [[2.618, -4.546, 0.000], [2.618, 4.546, 0.000], [0.000, 0.000, 7.044]], "species": ["Pm", "Pm", "Nd", "Nd", "Zn", "Zn"], "fractional_positions": [[0.167, 0.833, 0.750], [0.833, 0.167, 0.250], [0.500, 0.500, 0.000], [0.500, 0.500, 0.500], [0.166, 0.834, 0.250], [0.834, 0.166, 0.750]]}

***

Calculated ΔE_f (eV per atom), listed in the same order as above: -0.07 -0.20 -0.15 -0.13 -0.04 -0.13
Calculated VASP energy (eV per formula unit), listed in the same order as above: -35.1 -11.4 -16.2 -33.6 -15.7 -11.2